(1)
The following is a DFT calculation (GGA-PBEsol) of Y3HfHg after structural relaxation.

a = 5.4826 Å, b = 5.4826 Å, c = 5.4826 Å
α = 90.00°, β = 90.00°, γ = 90.00°
Site moments in Bohr magnetons follow the coordinates.
Fractional positions:
Y  0.0000  0.5000  0.0000  0.12
Y  0.0000  0.0000  0.5000  0.12
Y  0.5000  0.0000  0.0000  0.12
Hf  0.5000  0.5000  0.5000  0.63
Hg  0.0000  0.0000  0.0000  -0.01

Summary:
- space-group type = Pm-3m (221)
- formation enthalpy at 0 K (kJ/mol of atoms) = 60.9
- calculated total energy (eV/atom) = -5.676
- size of the total moment (μB/f.u.) = 1.86

---

(2)
The following is a DFT calculation (GGA-PBEsol) of SnP3 after structural relaxation.

a = 5.4649 Å, b = 5.4649 Å, c = 5.4649 Å
α = 84.64°, β = 84.64°, γ = 84.64°
Fractional positions:
P  0.7460  0.2057  0.2057
P  0.2057  0.7460  0.2057
P  0.2057  0.2057  0.7460
P  0.2540  0.7943  0.7943
P  0.7943  0.2540  0.7943
P  0.7943  0.7943  0.2540
Sn  0.7437  0.7437  0.7437
Sn  0.2563  0.2563  0.2563

Summary:
- space-group type = R-3m (166)
- formation enthalpy at 0 K (kJ/mol of atoms) = -2.5
- calculated total energy (eV/atom) = -5.434
- size of the total moment (μB/f.u.) = 0.00

---

(3)
The following is a DFT calculation (GGA-PBEsol) of Li2YNi after structural relaxation.

a = 2.9738 Å, b = 2.9738 Å, c = 9.5862 Å
α = 81.08°, β = 81.08°, γ = 60.00°
Fractional positions:
Li  0.2320  0.2320  0.3040
Li  0.7680  0.7680  0.6960
Ni  0.5000  0.5000  0.5000
Y  0.0000  0.0000  0.0000

Summary:
- space-group type = R-3m (166)
- formation enthalpy at 0 K (kJ/mol of atoms) = 37.6
- calculated total energy (eV/atom) = -3.838
- size of the total moment (μB/f.u.) = 0.02

---

(4)
The following is a DFT calculation (GGA-PBEsol) of YIn after structural relaxation.

a = 4.4352 Å, b = 4.4352 Å, c = 6.1191 Å
α = 111.25°, β = 111.25°, γ = 90.00°
Fractional positions:
Y  0.7500  0.2500  0.5000
Y  0.5000  0.5000  0.0000
In  0.2500  0.7500  0.5000
In  0.0000  0.0000  0.0000

Summary:
- space-group type = I4_1/amd (141)
- formation enthalpy at 0 K (kJ/mol of atoms) = -44.3
- calculated total energy (eV/atom) = -5.362
- size of the total moment (μB/f.u.) = 0.00

---

Copy entry 1 word for word.
The following is a DFT calculation (GGA-PBEsol) of Y3HfHg after structural relaxation.

a = 5.4826 Å, b = 5.4826 Å, c = 5.4826 Å
α = 90.00°, β = 90.00°, γ = 90.00°
Site moments in Bohr magnetons follow the coordinates.
Fractional positions:
Y  0.0000  0.5000  0.0000  0.12
Y  0.0000  0.0000  0.5000  0.12
Y  0.5000  0.0000  0.0000  0.12
Hf  0.5000  0.5000  0.5000  0.63
Hg  0.0000  0.0000  0.0000  -0.01

Summary:
- space-group type = Pm-3m (221)
- formation enthalpy at 0 K (kJ/mol of atoms) = 60.9
- calculated total energy (eV/atom) = -5.676
- size of the total moment (μB/f.u.) = 1.86

---

Question: Which formula does entry 2 have?
Answer: SnP3

---

Repeat the second record exactly.
The following is a DFT calculation (GGA-PBEsol) of SnP3 after structural relaxation.

a = 5.4649 Å, b = 5.4649 Å, c = 5.4649 Å
α = 84.64°, β = 84.64°, γ = 84.64°
Fractional positions:
P  0.7460  0.2057  0.2057
P  0.2057  0.7460  0.2057
P  0.2057  0.2057  0.7460
P  0.2540  0.7943  0.7943
P  0.7943  0.2540  0.7943
P  0.7943  0.7943  0.2540
Sn  0.7437  0.7437  0.7437
Sn  0.2563  0.2563  0.2563

Summary:
- space-group type = R-3m (166)
- formation enthalpy at 0 K (kJ/mol of atoms) = -2.5
- calculated total energy (eV/atom) = -5.434
- size of the total moment (μB/f.u.) = 0.00